Entry 1:
# PBE ZnSBr2, relaxed
data_ZnSBr2
_cell_length_a 5.0313
_cell_length_b 5.0313
_cell_length_c 5.0313
_cell_angle_alpha 60.00
_cell_angle_beta 60.00
_cell_angle_gamma 60.00
_space_group_name_H-M_alt 'P 1'
_space_group_IT_number 1
_space_group_name_Hall 'P 1'
loop_
_atom_site_label
_atom_site_type_symbol
_atom_site_fract_x
_atom_site_fract_y
_atom_site_fract_z
Zn1 Zn 0.5000 0.5000 0.5000
S1 S 0.0000 0.0000 0.0000
Br1 Br 0.2500 0.2500 0.2500
Br2 Br 0.7500 0.7500 0.7500
# - Symmetry: Fm-3m
# - ΔE to the lowest computed polymorph: 412 meV per atom
# - N(E_F): 1.346 states/eV/f.u.



Entry 2:
# PBE Ir2OsRu, relaxed
data_Ir2OsRu
_cell_length_a 9.0074
_cell_length_b 9.0074
_cell_length_c 9.0074
_cell_angle_alpha 17.46
_cell_angle_beta 17.46
_cell_angle_gamma 17.46
_space_group_name_H-M_alt 'P 1'
_space_group_IT_number 1
_space_group_name_Hall 'P 1'
loop_
_atom_site_label
_atom_site_type_symbol
_atom_site_fract_x
_atom_site_fract_y
_atom_site_fract_z
Ru1 Ru 0.2500 0.2500 0.2500
Ir1 Ir 0.0001 0.0001 0.0001
Ir2 Ir 0.4999 0.4999 0.4999
Os1 Os 0.7500 0.7500 0.7500
# - Energy of formation from the pure elements: 7.7 kJ per mole of atoms
# - Symmetry: R-3m
# - ΔE to the lowest computed polymorph: 75 meV per atom
# - N(E_F): 5.930 states/eV/f.u.



Entry 3:
# PBE PaHgTe2, relaxed
data_PaHgTe2
_cell_length_a 3.8634
_cell_length_b 3.8634
_cell_length_c 7.5535
_cell_angle_alpha 90.00
_cell_angle_beta 90.00
_cell_angle_gamma 90.00
_space_group_name_H-M_alt 'P 1'
_space_group_IT_number 1
_space_group_name_Hall 'P 1'
loop_
_atom_site_label
_atom_site_type_symbol
_atom_site_fract_x
_atom_site_fract_y
_atom_site_fract_z
Pa1 Pa 0.5000 0.5000 0.0000
Te1 Te 0.0000 0.0000 0.7790
Te2 Te 0.0000 0.0000 0.2210
Hg1 Hg 0.5000 0.5000 0.5000
# - Symmetry: P4/mmm
# - ΔE to the lowest computed polymorph: 0 meV per atom
# - N(E_F): 4.151 states/eV/f.u.